No. 1
5
Lattice="4.430 0.000 0.000 0.000 4.430 0.000 0.000 0.000 4.430" Properties=species:S:1:pos:R:3 comment="PBE HOsBr3, optimized geometry" polymorph_energy_mev_per_atom=795 n_ef_per_ev_cell=5.36 total_magnetization_mub_per_fu=0.00 pbc="T T T"
H 0.000 0.000 0.000
Os 2.215 2.215 2.215
Br 0.000 0.000 2.215
Br 0.000 2.215 0.000
Br 2.215 0.000 0.000


No. 2
5
Lattice="5.478 0.000 0.000 0.000 5.478 0.000 0.000 0.000 3.411" Properties=species:S:1:pos:R:3 comment="PBE HOsPb2Br, optimized geometry" n_ef_per_ev_cell=2.67 total_magnetization_mub_per_fu=0.00 pbc="T T T"
H 0.000 0.000 0.000
Os 0.000 0.000 1.705
Pb 0.000 2.739 0.000
Pb 2.739 0.000 0.000
Br 2.739 2.739 1.705


No. 3
16
Lattice="4.031 2.327 7.822 -4.031 2.327 7.822 0.000 -4.655 7.822" Properties=species:S:1:pos:R:3 comment="PBE Pm8HOs3Br4, optimized geometry" n_ef_per_ev_cell=3.35 total_magnetization_mub_per_fu=0.00 pbc="T T T"
Pm -2.029 -1.171 13.251
Pm 0.000 0.000 5.499
Pm 0.000 -2.343 10.214
Pm -2.029 1.171 10.214
Pm 2.029 -1.171 13.251
Pm 0.000 2.343 13.251
Pm 0.000 0.000 17.967
Pm 2.029 1.171 10.214
H 0.000 0.000 11.733
Os -4.031 0.000 11.733
Os -2.016 1.164 3.911
Os 2.016 1.164 3.911
Br 0.000 0.000 0.000
Br -2.016 -1.164 7.822
Br -2.016 1.164 15.644
Br 0.000 2.327 7.822


No. 4
12
Lattice="3.477 -6.028 0.000 3.477 6.028 0.000 -2.329 0.000 7.796" Properties=species:S:1:pos:R:3 comment="PBE Pm6HOs2Br3, optimized geometry" n_ef_per_ev_cell=3.45 total_magnetization_mub_per_fu=0.00 pbc="T T T"
Pm -0.015 2.019 6.267
Pm 1.150 0.000 1.516
Pm -0.015 -2.019 6.267
Pm 4.640 2.019 1.529
Pm 3.475 0.000 6.280
Pm 4.640 -2.019 1.529
H 3.477 0.000 0.000
Os 3.477 4.016 0.000
Os 3.477 -4.016 0.000
Br -1.164 0.000 3.898
Br 2.312 2.046 3.898
Br 2.312 -2.046 3.898


no.,uncorrected energy (eV/f.u.)
1,-11.74
2,-21.31
3,-93.19
4,-68.42